Model 1:
A relaxed ZrTl3Te crystal, computed with PBE.

Calculated values
* D(E_F): 1.331 states/eV/atom

a = 5.9407 Å, b = 5.9407 Å, c = 5.9407 Å
α = 90.00°, β = 90.00°, γ = 90.00°
Last column: nearest neighbours and their distance in Å.
Fractional coordinates of all 5 atoms:
Zr (0.0000, 0.0000, 0.0000)  12 Tl 4.20
Tl (0.0000, 0.5000, 0.5000)  2 Te 2.97
Tl (0.5000, 0.0000, 0.5000)  2 Te 2.97
Tl (0.5000, 0.5000, 0.0000)  2 Te 2.97
Te (0.5000, 0.5000, 0.5000)  6 Tl 2.97


Model 2:
A relaxed ZrTl3Te crystal, computed with PBE.

Calculated values
* D(E_F): 1.387 states/eV/atom

a = 5.7475 Å, b = 5.7475 Å, c = 5.7475 Å
α = 90.00°, β = 90.00°, γ = 90.00°
Last column: nearest neighbours and their distance in Å.
Fractional coordinates of all 5 atoms:
Zr (0.0000, 0.0000, 0.0000)  6 Tl 2.87
Tl (0.0000, 0.0000, 0.5000)  2 Zr 2.87
Tl (0.0000, 0.5000, 0.0000)  2 Zr 2.87
Tl (0.5000, 0.0000, 0.0000)  2 Zr 2.87
Te (0.5000, 0.5000, 0.5000)  12 Tl 4.06


Relative calculated energies, zero for the most stable structure, unit kJ/mol of atoms: model 1 46.6; model 2 0.0.


Model 1:
A relaxed Zr3TlTe crystal, computed with PBE.

Calculated values
* D(E_F): 2.417 states/eV/atom

a = 5.2878 Å, b = 5.2878 Å, c = 5.2878 Å
α = 90.00°, β = 90.00°, γ = 90.00°
Last column: nearest neighbours and their distance in Å.
Fractional coordinates of all 5 atoms:
Zr (0.0000, 0.0000, 0.5000)  2 Te 2.64
Zr (0.0000, 0.5000, 0.0000)  2 Te 2.64
Zr (0.5000, 0.0000, 0.0000)  2 Te 2.64
Tl (0.5000, 0.5000, 0.5000)  12 Zr 3.74
Te (0.0000, 0.0000, 0.0000)  6 Zr 2.64


Model 2:
A relaxed Zr3TlTe crystal, computed with PBE.

Calculated values
* D(E_F): 1.091 states/eV/atom

a = 6.5477 Å, b = 6.5477 Å, c = 8.0149 Å
α = 92.08°, β = 92.08°, γ = 48.53°
Last column: nearest neighbours and their distance in Å.
Fractional coordinates of all 10 atoms:
Zr (0.0343, 0.0343, 0.2869)  2 Te 2.84-2.88, 2 Tl 3.00, 2 Zr 3.07-3.09
Zr (0.1669, 0.1669, 0.9630)  7 Zr 3.07-3.38, 3 Tl 3.09-3.22, 1 Te 3.09
Zr (0.3314, 0.3314, 0.2764)  3 Te 2.93-3.07, 1 Zr 3.13, 1 Tl 3.28
Zr (0.6686, 0.6686, 0.7236)  3 Te 2.93-3.07, 1 Zr 3.13, 1 Tl 3.28
Zr (0.8331, 0.8331, 0.0370)  7 Zr 3.07-3.38, 3 Tl 3.09-3.22, 1 Te 3.09
Zr (0.9657, 0.9657, 0.7131)  2 Te 2.84-2.88, 2 Tl 3.00, 2 Zr 3.07-3.09
Tl (0.4119, 0.4119, 0.8539)  6 Zr 3.00-3.28, 1 Tl 3.09
Tl (0.5881, 0.5881, 0.1461)  6 Zr 3.00-3.28, 1 Tl 3.09
Te (0.1822, 0.1822, 0.5795)  6 Zr 2.84-3.09
Te (0.8178, 0.8178, 0.4205)  6 Zr 2.84-3.09


Relative calculated energies, zero for the most stable structure, unit kJ/mol of atoms: model 1 60.0; model 2 0.0.


Model 1:
A relaxed Tm3Te crystal, computed with PBE.

Calculated values
* D(E_F): 1.212 states/eV/atom

a = 12.1851 Å, b = 12.1851 Å, c = 6.0596 Å
α = 90.00°, β = 90.00°, γ = 90.00°
Last column: nearest neighbours and their distance in Å.
Fractional coordinates of all 32 atoms:
Tm (0.0363, 0.5738, 0.2374)  3 Te 3.08-3.20, 2 Tm 3.36-3.42
Tm (0.0738, 0.9637, 0.7374)  3 Te 3.08-3.20, 2 Tm 3.36-3.42
Tm (0.1068, 0.2208, 0.0411)  4 Te 3.09-3.13, 1 Tm 3.42
Tm (0.1423, 0.6673, 0.7140)  2 Te 3.12-3.20, 2 Tm 3.31-3.36
Tm (0.1673, 0.8577, 0.2140)  2 Te 3.12-3.20, 2 Tm 3.31-3.36
Tm (0.2208, 0.3932, 0.4589)  4 Te 3.09-3.13, 1 Tm 3.42
Tm (0.2792, 0.1068, 0.4589)  4 Te 3.09-3.13, 1 Tm 3.42
Tm (0.3327, 0.6423, 0.2140)  2 Te 3.12-3.20, 2 Tm 3.31-3.36
Tm (0.3577, 0.8327, 0.7140)  2 Te 3.12-3.20, 2 Tm 3.31-3.36
Tm (0.3932, 0.2792, 0.0411)  4 Te 3.09-3.13, 1 Tm 3.42
Tm (0.4262, 0.5363, 0.7374)  3 Te 3.08-3.20, 2 Tm 3.36-3.42
Tm (0.4637, 0.9262, 0.2374)  3 Te 3.08-3.20, 2 Tm 3.36-3.42
Tm (0.5363, 0.0738, 0.7626)  3 Te 3.08-3.20, 2 Tm 3.36-3.42
Tm (0.5738, 0.4637, 0.2626)  3 Te 3.08-3.20, 2 Tm 3.36-3.42
Tm (0.6068, 0.7208, 0.9589)  4 Te 3.09-3.13, 1 Tm 3.42
Tm (0.6423, 0.1673, 0.2860)  2 Te 3.12-3.20, 2 Tm 3.31-3.36
Tm (0.6673, 0.3577, 0.7860)  2 Te 3.12-3.20, 2 Tm 3.31-3.36
Tm (0.7208, 0.8932, 0.5411)  4 Te 3.09-3.13, 1 Tm 3.42
Tm (0.7792, 0.6068, 0.5411)  4 Te 3.09-3.13, 1 Tm 3.42
Tm (0.8327, 0.1423, 0.7860)  2 Te 3.12-3.20, 2 Tm 3.31-3.36
Tm (0.8577, 0.3327, 0.2860)  2 Te 3.12-3.20, 2 Tm 3.31-3.36
Tm (0.8932, 0.7792, 0.9589)  4 Te 3.09-3.13, 1 Tm 3.42
Tm (0.9262, 0.0363, 0.2626)  3 Te 3.08-3.20, 2 Tm 3.36-3.42
Tm (0.9637, 0.4262, 0.7626)  3 Te 3.08-3.20, 2 Tm 3.36-3.42
Te (0.0497, 0.2069, 0.5443)  9 Tm 3.08-3.20
Te (0.2069, 0.4503, 0.9557)  9 Tm 3.08-3.20
Te (0.2931, 0.0497, 0.9557)  9 Tm 3.08-3.20
Te (0.4503, 0.2931, 0.5443)  9 Tm 3.08-3.20
Te (0.5497, 0.7069, 0.4557)  9 Tm 3.08-3.20
Te (0.7069, 0.9503, 0.0443)  9 Tm 3.08-3.20
Te (0.7931, 0.5497, 0.0443)  9 Tm 3.08-3.20
Te (0.9503, 0.7931, 0.4557)  9 Tm 3.08-3.20


Model 2:
A relaxed Tm3Te crystal, computed with PBE.

Calculated values
* D(E_F): 1.208 states/eV/atom

a = 3.7002 Å, b = 3.7455 Å, c = 9.2884 Å
α = 90.00°, β = 90.00°, γ = 90.00°
Last column: nearest neighbours and their distance in Å.
Fractional coordinates of all 4 atoms:
Tm (0.0000, 0.0000, 0.0000)  2 Te 3.12, 4 Tm 3.47
Tm (0.0000, 0.5000, 0.4375)  4 Te 3.06
Tm (0.5000, 0.5000, 0.7565)  10 Tm 3.47-3.75
Te (0.5000, 0.0000, 0.2699)  6 Tm 3.06-3.12


Relative calculated energies, zero for the most stable structure, unit kJ/mol of atoms: model 1 0.0; model 2 26.2.


Model 1:
A relaxed YTm3Te6 crystal, computed with PBE.

a = 12.3908 Å, b = 4.3190 Å, c = 12.6924 Å
α = 90.00°, β = 109.42°, γ = 90.00°
Last column: nearest neighbours and their distance in Å.
Fractional coordinates of all 20 atoms:
Y (0.0448, 0.2500, 0.1952)  8 Te 3.17-3.31
Y (0.9552, 0.7500, 0.8048)  8 Te 3.17-3.31
Tm (0.1560, 0.2500, 0.5807)  6 Te 2.98-3.05
Tm (0.3160, 0.7500, 0.9982)  7 Te 3.00-3.30
Tm (0.4324, 0.2500, 0.3343)  6 Te 3.01-3.08
Tm (0.5676, 0.7500, 0.6657)  6 Te 3.01-3.08
Tm (0.6840, 0.2500, 0.0018)  7 Te 3.00-3.30
Tm (0.8440, 0.7500, 0.4193)  6 Te 2.98-3.05
Te (0.0831, 0.7500, 0.4009)  3 Tm 3.05, 2 Y 3.30
Te (0.1117, 0.2500, 0.9676)  3 Y 3.17-3.26, 2 Tm 3.25
Te (0.1930, 0.7500, 0.7504)  3 Tm 2.98-3.00, 1 Y 3.24
Te (0.2540, 0.7500, 0.2208)  3 Tm 3.08-3.16, 2 Y 3.31
Te (0.3925, 0.2500, 0.5614)  4 Tm 3.02-3.08
Te (0.4818, 0.2500, 0.1173)  4 Tm 3.01-3.30
Te (0.5182, 0.7500, 0.8827)  4 Tm 3.01-3.30
Te (0.6075, 0.7500, 0.4386)  4 Tm 3.02-3.08
Te (0.7460, 0.2500, 0.7792)  3 Tm 3.08-3.16, 2 Y 3.31
Te (0.8070, 0.2500, 0.2496)  3 Tm 2.98-3.00, 1 Y 3.24
Te (0.8883, 0.7500, 0.0324)  3 Y 3.17-3.26, 2 Tm 3.25
Te (0.9169, 0.2500, 0.5991)  3 Tm 3.05, 2 Y 3.30


Model 2:
A relaxed YTm3Te6 crystal, computed with PBE.

Calculated values
* D(E_F): 0.000 states/eV/atom

a = 8.9540 Å, b = 8.9540 Å, c = 8.9540 Å
α = 90.51°, β = 90.51°, γ = 90.51°
Last column: nearest neighbours and their distance in Å.
Fractional coordinates of all 20 atoms:
Y (0.0000, 0.0000, 0.0000)  6 Te 3.02
Y (0.5000, 0.5000, 0.5000)  6 Te 3.07
Tm (0.0746, 0.7431, 0.5819)  6 Te 3.00-3.16
Tm (0.2569, 0.4181, 0.9254)  6 Te 3.00-3.16
Tm (0.4181, 0.9254, 0.2569)  6 Te 3.00-3.16
Tm (0.5819, 0.0746, 0.7431)  6 Te 3.00-3.16
Tm (0.7431, 0.5819, 0.0746)  6 Te 3.00-3.16
Tm (0.9254, 0.2569, 0.4181)  6 Te 3.00-3.16
Te (0.0375, 0.6769, 0.9075)  3 Tm 3.00-3.16, 1 Y 3.02
Te (0.0925, 0.9625, 0.3231)  3 Tm 3.00-3.16, 1 Y 3.02
Te (0.1821, 0.4088, 0.5885)  3 Tm 3.05-3.15, 1 Y 3.07
Te (0.3231, 0.0925, 0.9625)  3 Tm 3.00-3.16, 1 Y 3.02
Te (0.4088, 0.5885, 0.1821)  3 Tm 3.05-3.15, 1 Y 3.07
Te (0.4115, 0.8179, 0.5912)  3 Tm 3.05-3.15, 1 Y 3.07
Te (0.5885, 0.1821, 0.4088)  3 Tm 3.05-3.15, 1 Y 3.07
Te (0.5912, 0.4115, 0.8179)  3 Tm 3.05-3.15, 1 Y 3.07
Te (0.6769, 0.9075, 0.0375)  3 Tm 3.00-3.16, 1 Y 3.02
Te (0.8179, 0.5912, 0.4115)  3 Tm 3.05-3.15, 1 Y 3.07
Te (0.9075, 0.0375, 0.6769)  3 Tm 3.00-3.16, 1 Y 3.02
Te (0.9625, 0.3231, 0.0925)  3 Tm 3.00-3.16, 1 Y 3.02


Relative calculated energies, zero for the most stable structure, unit kJ/mol of atoms: model 1 0.0; model 2 4.7.


Model 1:
A relaxed YTm3Te4 crystal, computed with PBE.

Calculated values
* D(E_F): 0.370 states/eV/atom

a = 9.2001 Å, b = 7.8850 Å, c = 8.1867 Å
α = 90.00°, β = 90.00°, γ = 90.00°
Last column: nearest neighbours and their distance in Å.
Fractional coordinates of all 16 atoms:
Y (0.0000, 0.1185, 0.0000)  4 Te 3.05-3.07
Y (0.5000, 0.8815, 0.5000)  4 Te 3.05-3.07
Tm (0.0000, 0.8391, 0.3644)  4 Te 2.98-3.06
Tm (0.1994, 0.7117, 0.9982)  4 Te 3.00-3.04
Tm (0.3006, 0.2883, 0.4982)  4 Te 3.00-3.04
Tm (0.5000, 0.1609, 0.8644)  4 Te 2.98-3.06
Tm (0.6994, 0.2883, 0.4982)  4 Te 3.00-3.04
Tm (0.8006, 0.7117, 0.9982)  4 Te 3.00-3.04
Te (0.0000, 0.2181, 0.3612)  3 Tm 2.99-3.04, 1 Y 3.06
Te (0.0000, 0.8436, 0.7382)  3 Tm 3.00-3.06, 1 Y 3.05
Te (0.2250, 0.3596, 0.8496)  3 Tm 2.98-3.04, 1 Y 3.07
Te (0.2750, 0.6404, 0.3496)  3 Tm 2.98-3.04, 1 Y 3.07
Te (0.5000, 0.1564, 0.2382)  3 Tm 3.00-3.06, 1 Y 3.05
Te (0.5000, 0.7819, 0.8612)  3 Tm 2.99-3.04, 1 Y 3.06
Te (0.7250, 0.6404, 0.3496)  3 Tm 2.98-3.04, 1 Y 3.07
Te (0.7750, 0.3596, 0.8496)  3 Tm 2.98-3.04, 1 Y 3.07


Model 2:
A relaxed YTm3Te4 crystal, computed with PBE.

Calculated values
* D(E_F): 0.584 states/eV/atom

a = 7.5203 Å, b = 7.5203 Å, c = 4.2493 Å
α = 90.00°, β = 90.00°, γ = 108.63°
Last column: nearest neighbours and their distance in Å.
Fractional coordinates of all 8 atoms:
Y (0.0000, 0.0000, 0.0000)  6 Te 3.08
Tm (0.0000, 0.5000, 0.5000)  6 Te 3.05
Tm (0.5000, 0.0000, 0.5000)  6 Te 3.05
Tm (0.5000, 0.5000, 0.0000)  6 Te 3.03
Te (0.2519, 0.7481, 0.0000)  5 Tm 3.03-3.05, 1 Y 3.08
Te (0.2538, 0.2538, 0.5000)  4 Tm 3.03-3.05, 2 Y 3.08
Te (0.7462, 0.7462, 0.5000)  4 Tm 3.03-3.05, 2 Y 3.08
Te (0.7481, 0.2519, 0.0000)  5 Tm 3.03-3.05, 1 Y 3.08


Relative calculated energies, zero for the most stable structure, unit kJ/mol of atoms: model 1 26.9; model 2 0.0.